First-principles (GGA+U) data for crystalline NaNiP2O6 at its relaxed geometry, as listed in the Alexandria database.

a = 5.155 Å, b = 5.155 Å, c = 6.210 Å
α = 65.48°, β = 65.48°, γ = 60.00°
Each line ends with the local moment (μB).
Sites, in units of the cell vectors:
1 O 0.485 0.728 0.720  0.06
2 O 0.933 0.515 0.280  0.06
3 O 0.067 0.485 0.720  0.06
4 O 0.272 0.933 0.280  0.06
5 O 0.728 0.067 0.720  0.06
6 O 0.515 0.272 0.280  0.06
7 Ni 0.500 0.500 0.500  1.83
8 P 0.255 0.255 0.236  0.14
9 P 0.745 0.745 0.764  0.14
10 Na 0.000 0.000 0.000  0.00

total DFT energy (no corrections)	-6.11	eV/atom
symmetry	No. 148